This record from Alexandria via LeMat-Bulk describes a relaxed Tb2TmSn crystal. The functional is PBE-GGA.

Cell and atoms, written as POSCAR:
```
Tb2TmSn
1.0
5.3942 0.0000 0.0000
2.6971 4.6715 0.0000
2.6971 1.5572 4.4043
Tm Tb Sn
1 2 1
direct
0.0000 0.0000 0.0000
0.2500 0.2500 0.2500
0.7500 0.7500 0.7500
0.5000 0.5000 0.5000
```

Results
Energy relative to the lowest polymorph listed for this composition ... 173 meV per atom
Energy relative to the elements ... -0.96 eV per formula unit
DFT total energy ... -0.172 hartree per atom